1.
# La6Os2PbBr3 | the Alexandria database | PBE | optimized geometry
# - Total magnetic moment: 0.000 μB per formula unit
# - Total DFT energy (no corrections): -5.97 eV per atom
# - ΔE_f (raw): -907 meV/atom
data_La6Os2PbBr3
_chemical_formula_sum 'La6 Os2 Pb1 Br3'
_symmetry_space_group_name_H-M 'P 1'
_symmetry_Int_Tables_number 1
_cell_length_a 4.284
_cell_length_b 9.376
_cell_length_c 10.297
_cell_angle_alpha 106.36
_cell_angle_beta 102.01
_cell_angle_gamma 90.00
loop_
_symmetry_equiv_pos_as_xyz
'x,y,z'
loop_
_atom_site_label
_atom_site_fract_x
_atom_site_fract_y
_atom_site_fract_z
_atom_site_occupancy
La1 0.332 0.862 0.663 1
La2 0.682 0.565 0.364 1
La3 0.668 0.138 0.337 1
La4 0.030 0.266 0.060 1
La5 0.970 0.734 0.940 1
La6 0.318 0.435 0.636 1
Os1 0.831 0.655 0.663 1
Os2 0.169 0.345 0.337 1
Pb1 0.500 0.000 0.000 1
Br1 0.500 0.500 0.000 1
Br2 0.833 0.156 0.666 1
Br3 0.167 0.844 0.334 1



2.
# La6Os2PdBr3 | the Alexandria database | PBE | optimized geometry
# - Total magnetic moment: 0.000 μB per formula unit
# - Total DFT energy (no corrections): -6.15 eV per atom
# - ΔE_f (raw): -961 meV/atom
data_La6Os2PdBr3
_chemical_formula_sum 'La6 Os2 Pd1 Br3'
_symmetry_space_group_name_H-M 'P 1'
_symmetry_Int_Tables_number 1
_cell_length_a 4.217
_cell_length_b 9.316
_cell_length_c 10.183
_cell_angle_alpha 110.42
_cell_angle_beta 101.95
_cell_angle_gamma 90.00
loop_
_symmetry_equiv_pos_as_xyz
'x,y,z'
loop_
_atom_site_label
_atom_site_fract_x
_atom_site_fract_y
_atom_site_fract_z
_atom_site_occupancy
La1 0.339 0.879 0.679 1
La2 0.679 0.554 0.359 1
La3 0.661 0.121 0.321 1
La4 0.018 0.234 0.036 1
La5 0.982 0.766 0.964 1
La6 0.321 0.446 0.641 1
Os1 0.836 0.670 0.672 1
Os2 0.164 0.330 0.328 1
Pd1 0.500 0.000 0.000 1
Br1 0.500 0.500 0.000 1
Br2 0.833 0.168 0.666 1
Br3 0.167 0.832 0.334 1



3.
# La8OsPd3Br4 | the Alexandria database | PBE | optimized geometry
# - Total magnetic moment: 0.000 μB per formula unit
# - Total DFT energy (no corrections): -5.62 eV per atom
# - ΔE_f (raw): -1058 meV/atom
data_La8OsPd3Br4
_chemical_formula_sum 'La8 Os1 Pd3 Br4'
_symmetry_space_group_name_H-M 'P 1'
_symmetry_Int_Tables_number 1
_cell_length_a 8.511
_cell_length_b 9.319
_cell_length_c 8.511
_cell_angle_alpha 117.19
_cell_angle_beta 120.00
_cell_angle_gamma 90.00
loop_
_symmetry_equiv_pos_as_xyz
'x,y,z'
loop_
_atom_site_label
_atom_site_fract_x
_atom_site_fract_y
_atom_site_fract_z
_atom_site_occupancy
La1 0.227 0.701 0.974 1
La2 0.227 0.701 0.454 1
La3 0.267 0.301 0.534 1
La4 0.747 0.701 0.974 1
La5 0.253 0.299 0.026 1
La6 0.733 0.699 0.466 1
La7 0.773 0.299 0.546 1
La8 0.773 0.299 0.026 1
Os1 0.000 0.500 0.000 1
Pd1 0.500 0.500 0.000 1
Pd2 0.500 0.500 0.500 1
Pd3 0.000 0.500 0.500 1
Br1 0.500 0.000 0.000 1
Br2 0.500 0.000 0.500 1
Br3 0.000 0.000 0.000 1
Br4 0.000 0.000 0.500 1



4.
# La6OsPd2Br3 | the Alexandria database | PBE | optimized geometry
# - Total magnetic moment: 0.000 μB per formula unit
# - Total DFT energy (no corrections): -5.74 eV per atom
# - ΔE_f (raw): -1056 meV/atom
data_La6OsPd2Br3
_chemical_formula_sum 'La6 Os1 Pd2 Br3'
_symmetry_space_group_name_H-M 'P 1'
_symmetry_Int_Tables_number 1
_cell_length_a 7.352
_cell_length_b 7.352
_cell_length_c 8.306
_cell_angle_alpha 98.47
_cell_angle_beta 98.47
_cell_angle_gamma 120.02
loop_
_symmetry_equiv_pos_as_xyz
'x,y,z'
loop_
_atom_site_label
_atom_site_fract_x
_atom_site_fract_y
_atom_site_fract_z
_atom_site_occupancy
La1 0.933 0.614 0.800 1
La2 0.747 0.747 0.200 1
La3 0.067 0.386 0.200 1
La4 0.614 0.933 0.800 1
La5 0.253 0.253 0.800 1
La6 0.386 0.067 0.200 1
Os1 0.000 0.000 0.000 1
Pd1 0.333 0.667 0.000 1
Pd2 0.667 0.333 0.000 1
Br1 0.165 0.835 0.500 1
Br2 0.835 0.165 0.500 1
Br3 0.500 0.500 0.500 1



5.
# LaPmOsBr | the Alexandria database | PBE | optimized geometry
# - Total magnetic moment: 0.000 μB per formula unit
# - Total DFT energy (no corrections): -6.34 eV per atom
# - ΔE_f (raw): -691 meV/atom
data_LaPmOsBr
_chemical_formula_sum 'La1 Pm1 Os1 Br1'
_symmetry_space_group_name_H-M 'P 1'
_symmetry_Int_Tables_number 1
_cell_length_a 4.134
_cell_length_b 4.135
_cell_length_c 8.272
_cell_angle_alpha 90.02
_cell_angle_beta 104.45
_cell_angle_gamma 120.00
loop_
_symmetry_equiv_pos_as_xyz
'x,y,z'
loop_
_atom_site_label
_atom_site_fract_x
_atom_site_fract_y
_atom_site_fract_z
_atom_site_occupancy
La1 0.510 0.153 0.678 1
Pm1 0.102 0.949 0.066 1
Os1 0.304 0.550 0.869 1
Br1 0.963 0.380 0.357 1



6.
# LaPrOsBr | the Alexandria database | PBE | optimized geometry
# - Total magnetic moment: 0.000 μB per formula unit
# - Total DFT energy (no corrections): -6.33 eV per atom
# - ΔE_f (raw): -683 meV/atom
data_LaPrOsBr
_chemical_formula_sum 'La1 Pr1 Os1 Br1'
_symmetry_space_group_name_H-M 'P 1'
_symmetry_Int_Tables_number 1
_cell_length_a 4.164
_cell_length_b 4.165
_cell_length_c 8.326
_cell_angle_alpha 90.02
_cell_angle_beta 104.46
_cell_angle_gamma 120.00
loop_
_symmetry_equiv_pos_as_xyz
'x,y,z'
loop_
_atom_site_label
_atom_site_fract_x
_atom_site_fract_y
_atom_site_fract_z
_atom_site_occupancy
La1 0.510 0.153 0.678 1
Pr1 0.102 0.949 0.066 1
Os1 0.302 0.549 0.866 1
Br1 0.965 0.381 0.360 1



7.
# La4OsPtBr2 | the Alexandria database | PBE | optimized geometry
# - Total magnetic moment: 0.000 μB per formula unit
# - Total DFT energy (no corrections): -6.17 eV per atom
# - ΔE_f (raw): -1134 meV/atom
data_La4OsPtBr2
_chemical_formula_sum 'La4 Os1 Pt1 Br2'
_symmetry_space_group_name_H-M 'P 1'
_symmetry_Int_Tables_number 1
_cell_length_a 4.233
_cell_length_b 7.330
_cell_length_c 8.258
_cell_angle_alpha 107.14
_cell_angle_beta 90.00
_cell_angle_gamma 90.00
loop_
_symmetry_equiv_pos_as_xyz
'x,y,z'
loop_
_atom_site_label
_atom_site_fract_x
_atom_site_fract_y
_atom_site_fract_z
_atom_site_occupancy
La1 0.500 0.244 0.195 1
La2 0.500 0.756 0.805 1
La3 0.000 0.278 0.801 1
La4 0.000 0.722 0.199 1
Os1 0.500 0.500 0.000 1
Pt1 0.000 0.000 0.000 1
Br1 0.500 0.000 0.500 1
Br2 0.000 0.500 0.500 1



8.
# La8Os3PtBr4 | the Alexandria database | PBE | optimized geometry
# - Total magnetic moment: 0.000 μB per formula unit
# - Total DFT energy (no corrections): -6.35 eV per atom
# - ΔE_f (raw): -986 meV/atom
data_La8Os3PtBr4
_chemical_formula_sum 'La8 Os3 Pt1 Br4'
_symmetry_space_group_name_H-M 'P 1'
_symmetry_Int_Tables_number 1
_cell_length_a 8.424
_cell_length_b 9.257
_cell_length_c 8.424
_cell_angle_alpha 117.08
_cell_angle_beta 120.00
_cell_angle_gamma 90.00
loop_
_symmetry_equiv_pos_as_xyz
'x,y,z'
loop_
_atom_site_label
_atom_site_fract_x
_atom_site_fract_y
_atom_site_fract_z
_atom_site_occupancy
La1 0.238 0.695 0.958 1
La2 0.238 0.695 0.476 1
La3 0.267 0.302 0.534 1
La4 0.720 0.695 0.958 1
La5 0.280 0.305 0.042 1
La6 0.733 0.698 0.466 1
La7 0.762 0.305 0.524 1
La8 0.762 0.305 0.042 1
Os1 0.500 0.500 0.000 1
Os2 0.500 0.500 0.500 1
Os3 0.000 0.500 0.500 1
Pt1 0.000 0.500 0.000 1
Br1 0.500 0.000 0.000 1
Br2 0.500 0.000 0.500 1
Br3 0.000 0.000 0.000 1
Br4 0.000 0.000 0.500 1